GGA-PBE FeOs4, relaxed; magnetic moment = 0.00 μB per cell; calculated volume = 81.1 Å³/f.u.; formation energy from the elements = 2.00 eV per atom; space-group type = Pm-3m (221)
1.0
4.329 0.000 0.000
0.000 4.329 0.000
0.000 0.000 4.329
Fe Os
1 4
Cartesian
0.000 0.000 0.000
0.000 0.000 2.165
0.000 2.165 0.000
2.165 0.000 0.000
2.165 2.165 2.165

---

GGA-PBE ScTaBi2, relaxed; magnetic moment = 0.00 μB per cell; calculated volume = 92.5 Å³/f.u.; formation energy from the elements = 0.11 eV per atom; space-group type = Fm-3m (225)
1.0
0.000 3.589 3.589
3.589 0.000 3.589
3.589 3.589 0.000
Sc Ta Bi
1 1 2
Cartesian
0.000 0.000 0.000
3.589 3.589 3.589
1.795 1.795 1.795
5.384 5.384 5.384

---

GGA-PBE Np2Ni4SbAs3, relaxed; magnetic moment = 7.69 μB per cell; raw formation energy = -0.400 eV per atom; calculated volume = 170.8 Å³/f.u.; space-group type = P-4m2 (115)
1.0
4.230 0.000 0.000
0.000 4.230 0.000
0.000 0.000 9.544
Np Ni Sb As
2 4 1 3
Cartesian
0.000 2.115 2.248
2.115 0.000 7.296
0.000 0.000 0.000
0.000 2.115 6.033
2.115 0.000 3.511
2.115 2.115 0.000
0.000 0.000 4.772
0.000 2.115 8.332
2.115 0.000 1.212
2.115 2.115 4.772